1.
First-principles (PBE) data for an optimized crystal structure of BeGaCu6, as listed in Alexandria via LeMat-Bulk.

```
BeGaCu6
1.0
0.326 -3.453 -2.390
3.516 0.188 -2.311
4.404 -3.927 3.168
Be Ga Cu
1 1 6
Cartesian
0.000 0.000 0.000 Be
4.123 -3.596 -0.766 Ga
3.294 -1.273 -0.542 Cu
1.707 -3.085 -0.581 Cu
6.540 -4.107 -0.952 Cu
4.952 -5.919 -0.991 Cu
5.486 -4.836 1.333 Cu
2.760 -2.356 -2.866 Cu
```

Summary:
energy above the most stable polymorph in this dataset	0.146	eV per atom
SG	C2/m



2.
First-principles (PBE) data for an optimized crystal structure of KSnB, as listed in Alexandria via LeMat-Bulk.

```
KSnB
1.0
-1.766 -0.509 3.291
-2.073 -0.622 -3.368
8.323 -10.928 2.778
K B Sn
2 2 2
Cartesian
4.834 -9.770 3.243 K
-0.350 -2.289 -0.542 K
1.741 -6.909 -0.134 B
2.743 -5.149 2.835 B
0.688 -4.869 1.775 Sn
3.796 -7.189 0.926 Sn
```

Summary:
E_tot	-21.33	eV per cell
SG	C2/m



3.
First-principles (PBE) data for an optimized crystal structure of Be8V3Cr, as listed in Alexandria via LeMat-Bulk.

```
Be8V3Cr
1.0
-1.275 -1.392 3.872
-3.991 -1.532 0.532
0.521 -7.452 -0.112
Be V Cr
8 3 1
Cartesian
-0.547 -6.921 2.123 Be
-2.153 -3.287 0.505 Be
-2.543 -7.687 2.389 Be
-0.166 -2.525 0.240 Be
-3.986 -6.564 3.515 Be
-1.610 -1.387 1.367 Be
-1.906 -6.991 0.452 Be
-0.801 -3.218 2.168 Be
-3.224 -2.762 2.737 V
0.510 -7.420 -0.105 V
-2.361 -5.219 2.138 V
-0.333 -5.021 0.481 Cr
```

Summary:
E_tot	-69.60	eV per cell
SG	R3m



4.
First-principles (PBE) data for an optimized crystal structure of Mg4Si7, as listed in Alexandria via LeMat-Bulk.

```
Mg4Si7
1.0
2.306 14.624 0.095
-2.306 14.624 0.095
0.000 0.080 5.600
Mg Si
8 14
Cartesian
0.000 12.248 4.574 Mg
0.000 6.729 3.195 Mg
0.000 19.394 4.438 Mg
0.000 23.205 1.966 Mg
0.000 11.760 1.772 Mg
0.000 1.242 4.338 Mg
0.000 20.108 1.609 Mg
0.000 22.627 4.785 Mg
0.000 28.002 3.083 Si
0.000 27.994 0.623 Si
0.000 14.551 2.940 Si
0.000 14.504 0.504 Si
0.000 6.917 0.418 Si
0.000 4.101 0.344 Si
0.000 17.059 0.448 Si
0.000 25.448 0.306 Si
0.000 9.525 3.390 Si
0.000 3.942 2.840 Si
0.000 17.079 2.880 Si
0.000 25.517 3.491 Si
0.000 9.446 0.235 Si
0.000 1.810 1.491 Si
```

Summary:
energy relative to the elements, uncorrected	156	meV per atom
energy above the most stable polymorph in this dataset	0.060	eV per atom
SG	Cm



5.
First-principles (PBE) data for an optimized crystal structure of TcAg2Cl2F4, as listed in Alexandria via LeMat-Bulk.

```
TcAg2Cl2F4
1.0
-2.266 0.052 -4.484
6.271 -0.887 -1.416
3.334 -5.568 0.015
Tc Ag Cl F
1 2 2 4
Cartesian
-1.133 0.026 -2.242 Tc
5.740 -4.139 -1.757 Ag
1.599 -2.265 -4.128 Ag
0.908 -1.140 -1.866 Cl
6.430 -5.264 -4.019 Cl
4.418 -1.638 -1.999 F
4.394 -2.419 -4.603 F
2.921 -4.766 -3.886 F
2.945 -3.985 -1.282 F
```

Summary:
energy relative to the elements, uncorrected	-1275	meV per atom
SG	C2/m



6.
First-principles (PBE) data for an optimized crystal structure of HgMo2, as listed in Alexandria via LeMat-Bulk.

```
HgMo2
1.0
-4.204 1.759 2.220
-0.206 -1.843 -4.718
-0.877 -4.231 1.691
Hg Mo
2 4
Cartesian
-2.871 0.558 -0.093 Hg
-1.539 -0.642 -2.405 Hg
0.000 0.000 0.000 Mo
-0.507 -2.723 -0.710 Mo
-3.395 -2.172 -0.829 Mo
-1.825 -1.536 1.577 Mo
```

Summary:
energy above the most stable polymorph in this dataset	0.198	eV per atom
SG	P-62m



7.
First-principles (PBE) data for an optimized crystal structure of LiSe, as listed in Alexandria via LeMat-Bulk.

```
LiSe
1.0
4.249 0.007 0.004
2.988 3.021 0.004
2.988 1.250 2.750
Li Se
1 1
Cartesian
0.000 0.000 0.000 Li
5.113 2.139 1.379 Se
```

Summary:
energy relative to the elements, uncorrected	-726	meV per atom
energy above the most stable polymorph in this dataset	0.183	eV per atom
SG	R-3m



8.
First-principles (PBE) data for an optimized crystal structure of Ni6Pd3Pt, as listed in Alexandria via LeMat-Bulk.

```
Ni6Pd3Pt
1.0
3.757 0.000 0.000
0.000 8.205 -0.208
0.000 -0.004 8.361
Ni Pd Pt
12 6 2
Cartesian
0.939 3.657 0.763 Ni
2.818 4.545 7.391 Ni
0.939 1.220 1.636 Ni
2.818 6.982 6.518 Ni
0.939 5.365 5.733 Ni
2.818 2.837 2.420 Ni
0.939 2.022 4.086 Ni
2.818 6.180 4.068 Ni
0.939 7.022 2.312 Ni
2.818 1.180 5.841 Ni
0.939 0.384 7.539 Ni
2.818 7.818 0.615 Ni
0.939 4.523 3.232 Pd
2.818 3.679 4.922 Pd
0.939 2.863 6.628 Pd
2.818 5.339 1.525 Pd
0.939 6.176 8.151 Pd
2.818 2.026 0.003 Pd
0.939 7.772 4.885 Pt
2.818 0.430 3.268 Pt
```

Summary:
E_tot	-112.47	eV per cell
SG	P2_1/m



9.
First-principles (PBE) data for an optimized crystal structure of LiPm12Ge6, as listed in Alexandria via LeMat-Bulk.

```
LiPm12Ge6
1.0
-8.254 -1.143 2.263
2.138 -7.941 -2.632
3.838 0.300 7.730
Li Pm Ge
1 12 6
Cartesian
0.000 0.000 0.000 Li
-3.790 -5.465 3.744 Pm
0.330 -6.828 3.392 Pm
-0.757 -3.959 6.481 Pm
1.511 -3.320 3.617 Pm
-2.609 -1.956 3.968 Pm
-1.522 -4.826 0.880 Pm
2.730 -7.457 0.217 Pm
4.537 -5.112 5.583 Pm
-3.317 -8.164 -0.491 Pm
-5.009 -1.327 7.144 Pm
-6.816 -3.673 1.778 Pm
1.038 -0.621 7.852 Pm
-2.335 -7.568 2.223 Ge
-3.920 -3.162 1.584 Ge
1.442 -4.958 1.101 Ge
0.056 -1.216 5.138 Ge
1.641 -5.623 5.776 Ge
-3.721 -3.827 6.259 Ge
```

Summary:
E_tot	-93.57	eV per cell
SG	R-3



10.
First-principles (PBE) data for an optimized crystal structure of Zr2InSi, as listed in Alexandria via LeMat-Bulk.

```
Zr2InSi
1.0
-4.266 0.695 -2.904
0.569 -2.924 -4.271
0.480 -1.259 5.030
In Si Zr
1 1 2
Cartesian
-0.400 -2.649 -1.414 In
-2.817 -0.839 -0.731 Si
0.000 0.000 0.000 Zr
-1.848 -1.115 -3.587 Zr
```

Summary:
energy relative to the elements, uncorrected	-338	meV per atom
SG	I4/mmm



11.
First-principles (PBE) data for an optimized crystal structure of TeO2F4, as listed in Alexandria via LeMat-Bulk.

```
TeO2F4
1.0
-3.681 1.232 -0.575
-0.938 -1.232 3.371
4.308 7.339 1.542
Te O F
1 2 4
Cartesian
-4.365 -0.085 2.837 Te
1.157 3.982 1.237 O
-1.439 3.348 3.106 O
-0.140 0.451 2.162 F
-0.090 6.862 2.189 F
1.052 5.684 4.122 F
-1.729 1.779 0.159 F
```

Summary:
energy relative to the elements, uncorrected	-652	meV per atom
SG	C2



12.
First-principles (PBE) data for an optimized crystal structure of AcSmDyCd, as listed in Alexandria via LeMat-Bulk.

```
AcSmDyCd
1.0
3.800 0.000 0.000
0.000 3.800 0.000
0.000 0.000 8.990
Ac Sm Dy Cd
1 1 1 1
Cartesian
0.000 0.000 0.679 Ac
1.900 1.900 7.016 Sm
1.900 1.900 3.275 Dy
0.000 0.000 5.074 Cd
```

Summary:
energy above the most stable polymorph in this dataset	0.000	eV per atom
SG	P4mm